No. 1
VASP calculation (PBE) on Dy4InGe2 after structural relaxation.

Electronic total energy   -4.978 eV/atom
SG   I-42d
Formation energy from the elements   -637.6 meV per atom
Size of the total moment   0.0 μB per cell
Density of states at the Fermi level   13.1 states/eV per cell

```
data_Dy4InGe2
_cell_length_a 7.796
_cell_length_b 7.795
_cell_length_c 7.789
_cell_angle_alpha 109.23
_cell_angle_beta 109.24
_cell_angle_gamma 109.98
_symmetry_space_group_name_H-M 'P 1'
_symmetry_Int_Tables_number 1
loop_
_symmetry_equiv_pos_as_xyz
'x,y,z'
loop_
_atom_site_label
_atom_site_fract_x
_atom_site_fract_y
_atom_site_fract_z
Dy1 0.005 0.260 0.394
Dy2 0.384 0.490 0.245
Dy3 0.867 0.611 0.606
Dy4 0.740 0.134 0.745
Dy5 0.389 0.995 0.255
Dy6 0.245 0.139 0.755
Dy7 0.510 0.755 0.894
Dy8 0.861 0.617 0.106
In1 0.250 0.750 0.500
In2 0.000 0.000 0.000
Ge1 0.493 0.375 0.618
Ge2 0.757 0.875 0.382
Ge3 0.625 0.243 0.118
Ge4 0.125 0.507 0.882
```

***

No. 2
VASP calculation (PBE) on CaScCu2 after structural relaxation.

Electronic total energy   -4.249 eV/atom
SG   Pm
Formation energy from the elements   -117.4 meV per atom
Size of the total moment   0.0 μB per cell
Density of states at the Fermi level   2.9 states/eV per cell

```
data_CaScCu2
_cell_length_a 4.371
_cell_length_b 3.561
_cell_length_c 5.569
_cell_angle_alpha 71.28
_cell_angle_beta 90.00
_cell_angle_gamma 90.00
_symmetry_space_group_name_H-M 'P 1'
_symmetry_Int_Tables_number 1
loop_
_symmetry_equiv_pos_as_xyz
'x,y,z'
loop_
_atom_site_label
_atom_site_fract_x
_atom_site_fract_y
_atom_site_fract_z
Sc1 0.000 0.491 0.393
Ca1 0.500 0.773 0.830
Cu1 0.000 0.188 0.001
Cu2 0.500 0.048 0.277
```